{"formula": "Cs2TlP", "functional": "PBE", "state": "relaxed", "lattice_angstrom": [[13.592, 0.000, 0.000], [0.000, 13.592, 0.000], [6.796, 6.796, 2.679]], "species": ["Cs", "Cs", "Cs", "Cs", "P", "P", "Tl", "Tl"], "fractional_positions": [[0.446, 0.125, 0.250], [0.304, 0.625, 0.250], [0.375, 0.554, 0.750], [0.875, 0.696, 0.750], [0.500, 0.500, 0.000], [0.250, 0.750, 0.500], [0.000, 0.000, 0.000], [0.750, 0.250, 0.500]], "crystal_system": "tetragonal", "e_form_ev_per_atom": -0.04, "space_group": "I-42d (122)", "e_above_lowest_polymorph_mev_per_atom": 177, "total_magnetization_mub_per_fu": 0.00, "rho_g_cm3": 3.4}